First-principles (PBE) data for a relaxed MnIrCl2 crystal, as listed in Alexandria.

Lattice parameters (Å, degrees): 4.314 3.952 4.331 90.00 91.50 90.00
Space group P2/m (No. 10)
One atom of each set of equivalent atoms:
Mn1 0.000 0.000 0.000 (multiplicity 1)
Ir1 0.500 0.000 0.500 (multiplicity 1)
Cl1 0.266 0.500 0.735 (multiplicity 2)

* V: 18.459 Å³/atom
* E_form (uncorrected): 132 kJ/mol of formula units

First-principles (PBE) data for a relaxed MnIrCl2 crystal, as listed in Alexandria.

Lattice parameters (Å, degrees): 3.570 3.570 10.899 90.00 90.00 90.00
Space group I-4m2 (No. 119)
One atom of each set of equivalent atoms:
Mn1 0.000 0.000 0.000 (multiplicity 2)
Ir1 0.000 0.500 0.250 (multiplicity 2)
Cl1 0.000 0.000 0.500 (multiplicity 2)
Cl2 0.000 0.500 0.750 (multiplicity 2)

* V: 17.359 Å³/atom
* E_form (uncorrected): 190 kJ/mol of formula units

First-principles (PBE) data for a relaxed MnIrCl2 crystal, as listed in Alexandria.

Lattice parameters (Å, degrees): 3.1367 3.1367 33.0923 90.00 90.00 120.00
Space group R-3m (No. 166, hexagonal axes)
One atom of each set of equivalent atoms:
Mn1 0.0000 0.0000 0.0000 (multiplicity 3)
Ir1 0.0000 0.0000 0.5000 (multiplicity 3)
Cl1 0.0000 0.0000 0.2836 (multiplicity 6)

* V: 23.497 Å³/atom
* E_form (uncorrected): 155 kJ/mol of formula units

First-principles (PBE) data for a relaxed MnIr2Cl crystal, as listed in Alexandria.

Lattice parameters (Å, degrees): 5.920 5.920 8.716 90.00 90.00 90.00
Space group I-42d (No. 122)
One atom of each set of equivalent atoms:
Mn1 0.000 0.000 0.000 (multiplicity 4)
Ir1 0.217 0.250 0.125 (multiplicity 8)
Cl1 0.000 0.000 0.500 (multiplicity 4)

* V: 19.093 Å³/atom
* E_form (uncorrected): 374 kJ/mol of formula units

First-principles (PBE) data for a relaxed MnIrCl2 crystal, as listed in Alexandria.

Lattice parameters (Å, degrees): 5.388 5.388 9.938 90.00 90.00 90.00
Space group I-42d (No. 122)
One atom of each set of equivalent atoms:
Mn1 0.000 0.000 0.000 (multiplicity 4)
Ir1 0.000 0.000 0.500 (multiplicity 4)
Cl1 0.218 0.250 0.125 (multiplicity 8)

* V: 18.030 Å³/atom
* E_form (uncorrected): 350 kJ/mol of formula units

First-principles (PBE) data for a relaxed MnIrCl crystal, as listed in Alexandria.

Lattice parameters (Å, degrees): 2.885 2.885 12.969 90.00 90.00 90.00
Space group I4mm (No. 107)
One atom of each set of equivalent atoms:
Mn1 0.000 0.000 0.000 (multiplicity 2)
Ir1 0.000 0.000 0.621 (multiplicity 2)
Cl1 0.000 0.000 0.373 (multiplicity 2)

* V: 17.989 Å³/atom
* E_form (uncorrected): 73 kJ/mol of formula units

Copy entry 3 word for word.
First-principles (PBE) data for a relaxed MnIrCl2 crystal, as listed in Alexandria.

Lattice parameters (Å, degrees): 3.1367 3.1367 33.0923 90.00 90.00 120.00
Space group R-3m (No. 166, hexagonal axes)
One atom of each set of equivalent atoms:
Mn1 0.0000 0.0000 0.0000 (multiplicity 3)
Ir1 0.0000 0.0000 0.5000 (multiplicity 3)
Cl1 0.0000 0.0000 0.2836 (multiplicity 6)

* V: 23.497 Å³/atom
* E_form (uncorrected): 155 kJ/mol of formula units

Q: What is the formula in the third record?
A: MnIrCl2

Q: E_form (uncorrected) of number 1 (MnIrCl2)?
A: 132 kJ/mol of formula units

Q: What is the E_form (uncorrected) in the second record?
A: 190 kJ/mol of formula units